LiAg3P (PBE-GGA, relaxed); total DFT energy (no corrections) = -2.553 eV/atom; density of states at the Fermi level = 2.078 states/eV/f.u.; SG = Pm-3m (221); magnetization = 0.0000 μB/atom
1.0
4.488 0.000 0.000
0.000 4.488 0.000
0.000 0.000 4.488
Li Ag P
1 3 1
Cartesian
0.000 0.000 0.000
0.000 0.000 2.244
0.000 2.244 0.000
2.244 0.000 0.000
2.244 2.244 2.244

***

Li3AgP (PBE-GGA, relaxed); total DFT energy (no corrections) = -3.002 eV/atom; density of states at the Fermi level = 1.689 states/eV/f.u.; SG = Pm-3m (221); magnetization = 0.0000 μB/atom
1.0
4.637 0.000 0.000
0.000 4.637 0.000
0.000 0.000 4.637
Li Ag P
3 1 1
Cartesian
0.000 0.000 2.319
0.000 2.319 0.000
2.319 0.000 0.000
2.319 2.319 2.319
0.000 0.000 0.000

***

LiAg2P (PBE-GGA, relaxed); total DFT energy (no corrections) = -3.213 eV/atom; density of states at the Fermi level = 0.618 states/eV/f.u.; SG = I-42d (122); magnetization = 0.0000 μB/atom
1.0
-2.039 2.039 8.644
2.039 -2.039 8.644
2.039 2.039 -8.644
Li Ag P
2 4 2
Cartesian
0.000 0.000 0.000
0.000 2.039 4.322
1.019 -0.946 6.483
1.093 1.019 2.161
1.019 2.985 -2.161
0.946 1.019 10.805
2.039 0.000 4.322
0.000 0.000 8.644

***

LiAg2P (PBE-GGA, relaxed); total DFT energy (no corrections) = -3.287 eV/atom; density of states at the Fermi level = 0.566 states/eV/f.u.; SG = Cm (8); magnetization = 0.0000 μB/atom
1.0
4.323 -1.469 0.000
4.323 1.469 0.000
-0.821 0.000 5.179
Li Ag P
1 2 1
Cartesian
0.000 0.000 0.000
4.000 0.000 2.872
6.371 0.000 1.317
1.565 0.000 4.210

***

LiAg2P (PBE-GGA, relaxed); total DFT energy (no corrections) = -3.263 eV/atom; density of states at the Fermi level = 0.975 states/eV/f.u.; SG = P4mm (99); magnetization = 0.0000 μB/atom
1.0
2.913 0.000 0.000
0.000 2.913 0.000
0.000 0.000 7.662
Li Ag P
1 2 1
Cartesian
0.000 0.000 0.000
0.000 0.000 3.539
1.456 1.456 5.658
1.456 1.456 1.600

***

LiAg2P (PBE-GGA, relaxed); total DFT energy (no corrections) = -3.241 eV/atom; density of states at the Fermi level = 2.216 states/eV/f.u.; SG = Pmmm (47); magnetization = 0.0000 μB/atom
1.0
2.907 0.000 0.000
0.000 3.967 0.000
0.000 0.000 5.647
Li Ag P
1 2 1
Cartesian
0.000 0.000 0.000
1.454 1.983 1.401
1.454 1.983 4.246
0.000 0.000 2.824

***

LiAg2P (PBE-GGA, relaxed); total DFT energy (no corrections) = -3.283 eV/atom; density of states at the Fermi level = 1.299 states/eV/f.u.; SG = P2/m (10); magnetization = 0.0000 μB/atom
1.0
2.825 0.000 0.000
0.000 4.625 0.000
-0.084 0.000 5.047
Li Ag P
1 2 1
Cartesian
0.000 0.000 0.000
0.722 2.312 3.797
2.019 2.312 1.250
1.370 0.000 2.524

***

LiAg4P (PBE-GGA, relaxed); total DFT energy (no corrections) = -2.936 eV/atom; density of states at the Fermi level = 0.504 states/eV/f.u.; SG = F-43m (216); magnetization = 0.0000 μB/atom
1.0
0.000 3.862 3.862
3.862 0.000 3.862
3.862 3.862 0.000
Li Ag P
1 4 1
Cartesian
0.000 0.000 0.000
2.894 2.894 2.894
4.829 4.829 2.894
4.829 2.894 4.829
2.894 4.829 4.829
5.793 5.793 5.793